# GGA-PBE La3AsI3, relaxed
data_La3AsI3
_chemical_formula_sum 'La12 As4 I12'
_symmetry_space_group_name_H-M 'P 1'
_symmetry_Int_Tables_number 1
_cell_length_a 10.9664
_cell_length_b 10.9664
_cell_length_c 10.9664
_cell_angle_alpha 109.47
_cell_angle_beta 109.47
_cell_angle_gamma 109.47
loop_
_symmetry_equiv_pos_as_xyz
'x,y,z'
loop_
_atom_site_label
_atom_site_fract_x
_atom_site_fract_y
_atom_site_fract_z
La1 0.9691 0.7345 0.9845
La2 0.7655 0.5309 0.5155
La3 0.9845 0.5155 0.2500
La4 0.5155 0.2500 0.9845
La5 0.2500 0.7655 0.7345
La6 0.7345 0.2500 0.7655
La7 0.9845 0.9691 0.7345
La8 0.2500 0.9845 0.5155
La9 0.7345 0.9845 0.9691
La10 0.7655 0.7345 0.2500
La11 0.5309 0.5155 0.7655
La12 0.5155 0.7655 0.5309
I1 0.2587 0.0087 0.0174
I2 0.7500 0.2413 0.2587
I3 0.2587 0.7500 0.2413
I4 0.4913 0.2413 0.4826
I5 0.0087 0.0174 0.2587
I6 0.2413 0.4826 0.4913
I7 0.2413 0.2587 0.7500
I8 0.0174 0.2587 0.0087
I9 0.4913 0.7500 0.0087
I10 0.7500 0.0087 0.4913
I11 0.4826 0.4913 0.2413
I12 0.0087 0.4913 0.7500
As1 0.7500 0.5000 0.0000
As2 0.5000 0.0000 0.7500
As3 0.7500 0.7500 0.7500
As4 0.0000 0.7500 0.5000
# Raw formation energy, eV per atom: -1.458
# Offset from the most stable computed form, kJ/mol of formula units: 0